1.
60
Lattice="8.5674 0.0000 -0.0300 0.0000 6.9509 0.0000 -1.2450 0.0000 9.0288" Properties=species:S:1:pos:R:3 comment="ZnH6C2O6 (GGA-PBE, optimized geometry)" final_energy_ev_per_atom=-5.66 sg="P2_1/c (14)" pbc="T T T"
C 5.6703 0.7105 0.6353
C 8.0084 4.9193 1.9231
C -0.0635 1.4438 2.5612
C 2.2746 4.1860 3.8490
C 5.0478 2.7650 5.1497
C 7.3859 5.5071 6.4375
C -0.6860 2.0317 7.0756
C 1.6521 6.2404 8.3634
H 1.7732 2.7507 0.1930
H 1.9841 4.3085 0.4840
H 5.6177 6.6463 1.0658
H 3.7151 1.0662 2.0129
H 7.6504 1.9396 2.0452
H 5.7410 4.1304 2.0790
H 2.2039 0.6549 2.4054
H 0.2945 5.4151 2.4392
H 4.2298 4.5416 2.4715
H 2.3272 3.1709 3.4185
H 5.9608 0.8330 4.0003
H 6.1717 6.2262 4.2914
H 1.1507 0.7248 4.7074
H 1.3616 6.1179 4.9984
H 4.9952 3.7800 5.5802
H 3.0926 2.4093 6.5273
H 7.0279 1.5358 6.5596
H 5.1185 6.2959 6.5934
H 1.5814 2.8205 6.9198
H -0.3280 5.0113 6.9536
H 3.6074 5.8847 6.9859
H 1.7047 0.3046 7.9329
H 5.3384 2.6424 8.5147
H 5.5493 4.2002 8.8058
O 6.7272 1.0586 0.0082
O 2.2900 3.3927 0.7527
O 7.7100 5.2495 0.7342
O 4.6727 1.4739 0.8027
O 4.8613 4.3890 1.7031
O 0.5910 0.5791 1.9080
O 7.3539 4.0545 2.5764
O 3.0836 0.9135 2.7813
O 3.2722 4.9493 3.6817
O 0.2349 1.7741 3.7501
O 5.6549 6.8682 3.7317
O 1.2177 4.5340 4.4762
O 6.1047 2.4169 4.5226
O 1.6676 0.0828 5.2671
O 7.0875 5.1768 5.2486
O 4.0503 2.0016 5.3171
O 4.2388 6.0374 6.2175
O -0.0315 2.8964 6.4224
O 6.7314 6.3718 7.0908
O 2.4611 2.5620 7.2957
O 2.6497 5.4770 8.1961
O -0.3876 1.7014 8.2645
O 5.0324 3.5582 8.2461
O 0.5952 5.8923 8.9906
Zn 0.0000 0.0000 0.0000
Zn 4.2837 3.4755 -0.0150
Zn -0.6225 3.4755 4.5144
Zn 3.6612 0.0000 4.4994

2.
98
Lattice="7.6335 0.0000 0.0000 0.0000 13.7266 0.0000 -6.6134 0.0000 10.7296" Properties=species:S:1:pos:R:3 comment="Zn5H6C20O18 (GGA-PBE, optimized geometry)" final_energy_ev_per_atom=-6.88 sg="P2_1/c (14)" pbc="T T T"
C 1.8162 9.5201 0.0193
C 4.4279 4.0569 0.0828
C 4.0435 8.8142 0.6276
C 6.7790 3.3571 0.7296
C 1.2804 8.4944 0.7837
C 3.8275 2.8945 0.7959
C 3.5060 7.8564 1.4874
C 2.1154 7.6756 1.5388
C 4.4454 7.0954 2.3611
C 1.4372 6.6890 2.4199
C 2.8895 13.5523 2.9449
C -0.1187 0.2321 3.0037
C 2.2114 0.8123 3.8260
C 0.8208 0.9931 3.8774
C 0.4993 9.7578 4.5689
C 3.0464 1.6311 4.5811
C -2.4522 10.2204 4.6351
C 0.2832 1.9509 4.7372
C -0.1011 10.9202 5.2820
C 2.5106 2.6568 5.3455
C -1.4905 11.0698 5.3841
C 1.1212 2.8064 5.4476
C 0.7368 11.7757 5.9924
C 3.4723 3.5062 6.0944
C -2.0263 12.0955 6.1485
C 0.5208 3.9688 6.1607
C 0.1993 12.7335 6.8522
C -1.1913 12.9144 6.9036
C 1.1387 13.4945 7.7259
C -1.8695 0.1743 7.7846
C -0.4172 7.0377 8.3097
C -3.4254 6.6312 8.3685
C -1.0953 6.0511 9.1908
C -2.4859 5.8702 9.2422
C -2.8074 10.8321 9.9337
C -0.2603 5.2322 9.9459
C -5.7589 10.3696 9.9999
C -3.0235 4.9124 10.1020
C -3.4078 9.6697 10.6468
C -0.7961 4.2065 10.7102
H 5.1227 8.9398 0.5494
H 0.2044 8.3275 0.8036
H 6.1872 13.5162 1.0150
H -1.8604 6.6529 4.3498
H 4.1224 1.4642 4.5612
H -0.7959 2.0764 4.8154
H 1.8160 11.6502 5.9142
H -3.1023 12.2624 6.1684
H 2.8805 7.0737 6.3798
H -5.1671 0.2104 9.7146
H 0.8157 5.3991 9.9260
H -4.1026 4.7869 10.1802
O 7.5898 2.6957 0.0293
O 5.5041 12.8203 0.7839
O 4.4955 1.8168 0.7903
O 2.6519 3.0568 1.2798
O 2.5694 13.5429 1.7086
O -0.0959 0.4659 1.7467
O 5.2560 6.2997 1.8142
O 0.5399 5.9782 1.8824
O -0.8311 3.3995 2.0192
O 5.1578 10.2628 3.3456
O 3.7869 12.8415 3.4824
O -0.9292 13.1630 3.5506
O 4.4227 7.3292 3.6181
O 1.7574 6.6796 3.6561
O 1.6749 9.9201 4.0850
O -0.1687 8.6802 4.5745
O -1.1774 5.9570 4.5809
O -3.2630 9.5590 5.3355
O 4.2831 4.1676 5.3941
O 2.1974 7.7697 6.1487
O 1.1888 5.0465 6.1551
O -0.6548 3.8065 6.6445
O -0.7373 7.0470 7.0734
O -3.4026 6.3974 7.1115
O 1.9493 0.5636 7.1790
O -2.7668 0.8852 7.2472
O -4.1378 3.4638 7.3840
O 1.8511 10.3271 8.7104
O 0.4802 7.7485 8.8472
O -4.2359 7.4269 8.9154
O 1.1160 13.2607 8.9829
O -1.5494 0.1837 9.0209
O -1.6318 10.6698 9.4498
O -3.4754 11.9098 9.9393
O -4.4841 0.9063 9.9456
O -6.5697 11.0309 10.7003
Zn 3.8167 0.0000 0.0000
Zn 1.3611 1.6080 0.9736
Zn 5.3541 12.0368 2.5634
Zn -1.0274 5.1735 2.8014
Zn 2.9656 8.4713 4.3912
Zn 0.5100 6.8633 5.3648
Zn -1.9456 5.2553 6.3384
Zn 2.0474 8.5531 7.9282
Zn -4.3341 1.6898 8.1662
Zn -0.3411 12.1186 9.7560

3.
42
Lattice="1.0340 0.0000 -6.3813 -4.3604 -6.6433 -0.0166 -4.3604 6.6433 -0.0166" Properties=species:S:1:pos:R:3 comment="ZnH8C4O8 (GGA-PBE, optimized geometry)" final_energy_ev_per_atom=-5.87 sg="C2/c (15)" pbc="T T T"
C -3.6300 -5.6315 -3.2292
C -3.5397 -5.6315 -6.3759
C -1.0164 -0.2212 -0.0299
C -0.4994 0.2212 -3.2206
C -7.1874 -0.2212 -3.1938
C -6.6704 0.2212 -6.3845
C -4.1471 5.6315 -0.0385
C -4.0567 5.6315 -3.1852
H -1.6708 -1.9799 -5.6355
H -2.5935 -3.2919 -5.7106
H -2.9125 -1.6186 -1.6042
H -2.6072 -0.8263 -2.9120
H -4.5762 -3.2919 -3.8945
H -2.0902 0.8263 -6.1026
H -2.1878 1.9799 -2.4449
H -2.3955 1.6186 -4.7948
H -5.2912 -1.6186 -1.6196
H -5.4990 -1.9799 -3.9695
H -5.5965 -0.8263 -0.3118
H -3.1105 3.2918 -2.5199
H -5.0795 0.8263 -3.5024
H -4.7742 1.6186 -4.8102
H -5.0932 3.2918 -0.7038
H -6.0160 1.9799 -0.7789
O -1.9004 -2.8264 -5.1770
O -3.4290 -4.3898 -3.2568
O -3.7408 -4.3898 -6.3483
O -2.2438 -0.5224 -0.0575
O -2.9439 -1.7111 -2.5808
O -1.7268 0.5224 -3.2481
O -5.2693 -2.8264 -4.4280
O -5.2598 -1.7111 -0.6430
O -2.4269 1.7111 -5.7714
O -2.4174 2.8264 -1.9864
O -5.9599 -0.5224 -3.1663
O -4.7428 1.7111 -3.8337
O -5.4429 0.5224 -6.3569
O -3.9460 4.3898 -0.0662
O -4.2578 4.3898 -3.1576
O -5.7863 2.8264 -1.2374
Zn -1.6632 -3.3217 -3.1989
Zn -2.1802 3.3217 -0.0083

4.
6
Lattice="0.0000 3.1329 3.1329 3.1329 0.0000 3.1329 3.1329 3.1329 0.0000" Properties=species:S:1:pos:R:3 comment="HfC2 (GGA-PBE, optimized geometry)" sg="Fd-3m (227)" de_polymorph_mev_per_atom=0 pbc="T T T"
C 0.7832 0.7832 0.7832
C 0.7832 2.3497 2.3497
C 2.3497 0.7832 2.3497
C 2.3497 2.3497 0.7832
Hf 3.1329 3.1329 3.1329
Hf 4.6993 4.6993 4.6993

5.
6
Lattice="-0.5097 5.9965 3.1362 -5.3185 -4.2124 -0.1525 0.9929 -1.3531 2.7484" Properties=species:S:1:pos:R:3 comment="Hf5C (GGA-PBE, optimized geometry)" sg="P-62m (189)" de_polymorph_mev_per_atom=0 pbc="T T T"
C 0.0000 0.0000 0.0000
Hf -2.1126 2.5935 2.0400
Hf -3.7156 -0.8094 0.9438
Hf 0.1139 3.8242 3.7281
Hf -0.9574 -0.2315 2.1185
Hf -3.4954 -3.8382 1.2598

6.
8
Lattice="4.5170 0.0000 0.0000 0.0000 9.8313 0.0000 0.0000 0.0000 3.3051" Properties=species:S:1:pos:R:3 comment="Hf3C (GGA-PBE, optimized geometry)" final_energy_ev_per_atom=-10.20 sg="Immm (71)" pbc="T T T"
C 2.2585 4.9157 0.8241
C 0.0000 0.0000 2.4810
Hf 0.0000 4.9157 0.8237
Hf 0.0000 1.5449 0.8283
Hf 0.0000 8.2864 0.8283
Hf 2.2585 3.3708 2.4768
Hf 2.2585 6.4606 2.4768
Hf 2.2585 0.0000 2.4814